# TlTc2PbO8, optimized geometry, DFT GGA-PBE
data_TlTc2PbO8
_chemical_formula_sum 'Tl1 Tc2 Pb1 O8'
_symmetry_space_group_name_H-M 'P 1'
_symmetry_Int_Tables_number 1
_cell_length_a 6.3010
_cell_length_b 6.3900
_cell_length_c 7.9432
_cell_angle_alpha 57.30
_cell_angle_beta 66.63
_cell_angle_gamma 60.46
loop_
_symmetry_equiv_pos_as_xyz
'x,y,z'
loop_
_atom_site_label
_atom_site_type_symbol
_atom_site_fract_x
_atom_site_fract_y
_atom_site_fract_z
Tl1 Tl 0.5000 0.5000 0.5000
Tc1 Tc 0.2925 0.2437 0.1713
Tc2 Tc 0.7075 0.7563 0.8287
Pb1 Pb 0.0000 0.0000 0.0000
O1 O 0.8766 0.4989 0.7478
O2 O 0.6506 0.6042 0.0946
O3 O 0.1234 0.5011 0.2522
O4 O 0.3494 0.3958 0.9054
O5 O 0.5842 0.0384 0.2505
O6 O 0.4158 0.9616 0.7495
O7 O 0.1269 0.0384 0.2505
O8 O 0.8731 0.9616 0.7495
# - Uncorrected formation energy: -1.31 eV/atom
# - Symmetry: C2/m, No. 12
# - Spin magnetization: 0.000 μB/atom

---

# TlTcPb2O6, optimized geometry, DFT GGA-PBE
data_TlTcPb2O6
_chemical_formula_sum 'Tl2 Tc2 Pb4 O12'
_symmetry_space_group_name_H-M 'P 1'
_symmetry_Int_Tables_number 1
_cell_length_a 5.7126
_cell_length_b 6.6336
_cell_length_c 8.5664
_cell_angle_alpha 90.00
_cell_angle_beta 89.03
_cell_angle_gamma 90.00
loop_
_symmetry_equiv_pos_as_xyz
'x,y,z'
loop_
_atom_site_label
_atom_site_type_symbol
_atom_site_fract_x
_atom_site_fract_y
_atom_site_fract_z
Tl1 Tl 0.5000 0.0000 0.0000
Tl2 Tl 0.0000 0.5000 0.5000
Tc1 Tc 0.5000 0.0000 0.5000
Tc2 Tc 0.0000 0.5000 0.0000
Pb1 Pb 0.0044 0.9735 0.2782
Pb2 Pb 0.5044 0.5265 0.7782
Pb3 Pb 0.9956 0.0265 0.7218
Pb4 Pb 0.4956 0.4735 0.2218
O1 O 0.2965 0.6436 0.0138
O2 O 0.7965 0.8564 0.5138
O3 O 0.7035 0.3564 0.9862
O4 O 0.2035 0.1436 0.4862
O5 O 0.3645 0.7926 0.3772
O6 O 0.8645 0.7074 0.8772
O7 O 0.6355 0.2074 0.6228
O8 O 0.1355 0.2926 0.1228
O9 O 0.8806 0.6260 0.1871
O10 O 0.3806 0.8740 0.6871
O11 O 0.1194 0.3740 0.8129
O12 O 0.6194 0.1260 0.3129
# - Uncorrected formation energy: -1.13 eV/atom
# - Symmetry: P2_1/c, No. 14
# - Spin magnetization: 0.000 μB/atom

---

# Tl2Tc2PbO7, optimized geometry, DFT GGA-PBE
data_Tl2Tc2PbO7
_chemical_formula_sum 'Tl2 Tc2 Pb1 O7'
_symmetry_space_group_name_H-M 'P 1'
_symmetry_Int_Tables_number 1
_cell_length_a 3.9201
_cell_length_b 3.9201
_cell_length_c 12.1152
_cell_angle_alpha 80.71
_cell_angle_beta 80.71
_cell_angle_gamma 90.00
loop_
_symmetry_equiv_pos_as_xyz
'x,y,z'
loop_
_atom_site_label
_atom_site_type_symbol
_atom_site_fract_x
_atom_site_fract_y
_atom_site_fract_z
Tl1 Tl 0.8093 0.8093 0.3817
Tl2 Tl 0.1907 0.1907 0.6183
Tc1 Tc 0.5882 0.5882 0.8233
Tc2 Tc 0.4118 0.4118 0.1767
Pb1 Pb 0.0000 0.0000 0.0000
O1 O 0.5000 0.5000 0.0000
O2 O 0.3323 0.3323 0.3361
O3 O 0.6677 0.6677 0.6639
O4 O 0.9156 0.4156 0.1693
O5 O 0.4156 0.9156 0.1693
O6 O 0.5844 0.0844 0.8307
O7 O 0.0844 0.5844 0.8307
# - Uncorrected formation energy: -1.13 eV/atom
# - Symmetry: I4/mmm, No. 139
# - Spin magnetization: 0.104 μB/atom

---

# Tl2TcPb2O6, optimized geometry, DFT GGA-PBE
data_Tl2TcPb2O6
_chemical_formula_sum 'Tl2 Tc1 Pb2 O6'
_symmetry_space_group_name_H-M 'P 1'
_symmetry_Int_Tables_number 1
_cell_length_a 6.0301
_cell_length_b 6.0301
_cell_length_c 6.5429
_cell_angle_alpha 97.62
_cell_angle_beta 97.62
_cell_angle_gamma 117.02
loop_
_symmetry_equiv_pos_as_xyz
'x,y,z'
loop_
_atom_site_label
_atom_site_type_symbol
_atom_site_fract_x
_atom_site_fract_y
_atom_site_fract_z
Tl1 Tl 0.8335 0.1665 0.0000
Tl2 Tl 0.1665 0.8335 0.0000
Tc1 Tc 0.0000 0.0000 0.5000
Pb1 Pb 0.3354 0.6646 0.5000
Pb2 Pb 0.6646 0.3354 0.5000
O1 O 0.8101 0.8101 0.6987
O2 O 0.0443 0.3226 0.6626
O3 O 0.1899 0.1899 0.3013
O4 O 0.3226 0.0443 0.6626
O5 O 0.9557 0.6774 0.3374
O6 O 0.6774 0.9557 0.3374
# - Uncorrected formation energy: -1.04 eV/atom
# - Symmetry: C2/m, No. 12
# - Spin magnetization: 0.092 μB/atom

---

# TlTcPbO4, optimized geometry, DFT GGA-PBE
data_TlTcPbO4
_chemical_formula_sum 'Tl2 Tc2 Pb2 O8'
_symmetry_space_group_name_H-M 'P 1'
_symmetry_Int_Tables_number 1
_cell_length_a 7.6425
_cell_length_b 5.7847
_cell_length_c 8.0130
_cell_angle_alpha 90.00
_cell_angle_beta 113.23
_cell_angle_gamma 90.00
loop_
_symmetry_equiv_pos_as_xyz
'x,y,z'
loop_
_atom_site_label
_atom_site_type_symbol
_atom_site_fract_x
_atom_site_fract_y
_atom_site_fract_z
Tl1 Tl 0.8341 0.7500 0.8586
Tl2 Tl 0.1659 0.2500 0.1414
Tc1 Tc 0.2902 0.7500 0.3853
Tc2 Tc 0.7098 0.2500 0.6147
Pb1 Pb 0.8272 0.7500 0.3801
Pb2 Pb 0.1728 0.2500 0.6199
O1 O 0.9049 0.4686 0.6169
O2 O 0.0951 0.9686 0.3831
O3 O 0.0951 0.5314 0.3831
O4 O 0.9049 0.0314 0.6169
O5 O 0.3011 0.7500 0.1714
O6 O 0.6989 0.2500 0.8286
O7 O 0.4816 0.7500 0.5981
O8 O 0.5184 0.2500 0.4019
# - Uncorrected formation energy: -1.09 eV/atom
# - Symmetry: P2_1/m, No. 11
# - Spin magnetization: 0.000 μB/atom

---

# TlTcPbO5, optimized geometry, DFT GGA-PBE
data_TlTcPbO5
_chemical_formula_sum 'Tl2 Tc2 Pb2 O10'
_symmetry_space_group_name_H-M 'P 1'
_symmetry_Int_Tables_number 1
_cell_length_a 7.1275
_cell_length_b 7.1275
_cell_length_c 8.1044
_cell_angle_alpha 91.22
_cell_angle_beta 91.22
_cell_angle_gamma 110.93
loop_
_symmetry_equiv_pos_as_xyz
'x,y,z'
loop_
_atom_site_label
_atom_site_type_symbol
_atom_site_fract_x
_atom_site_fract_y
_atom_site_fract_z
Tl1 Tl 0.0000 0.0000 0.5000
Tl2 Tl 0.0000 0.0000 0.0000
Tc1 Tc 0.7238 0.2762 0.2500
Tc2 Tc 0.2762 0.7238 0.7500
Pb1 Pb 0.3161 0.6839 0.2500
Pb2 Pb 0.6839 0.3161 0.7500
O1 O 0.1406 0.8594 0.2500
O2 O 0.8594 0.1406 0.7500
O3 O 0.9817 0.3552 0.2124
O4 O 0.0183 0.6448 0.7876
O5 O 0.6448 0.0183 0.2876
O6 O 0.3552 0.9817 0.7124
O7 O 0.6830 0.4040 0.4230
O8 O 0.3170 0.5960 0.5770
O9 O 0.5960 0.3170 0.0770
O10 O 0.4040 0.6830 0.9230
# - Uncorrected formation energy: -1.14 eV/atom
# - Symmetry: C2/c, No. 15
# - Spin magnetization: 0.000 μB/atom

---

# Tl2TcPbO4, optimized geometry, DFT GGA-PBE
data_Tl2TcPbO4
_chemical_formula_sum 'Tl2 Tc1 Pb1 O4'
_symmetry_space_group_name_H-M 'P 1'
_symmetry_Int_Tables_number 1
_cell_length_a 6.6425
_cell_length_b 6.6709
_cell_length_c 5.8744
_cell_angle_alpha 124.11
_cell_angle_beta 124.29
_cell_angle_gamma 90.75
loop_
_symmetry_equiv_pos_as_xyz
'x,y,z'
loop_
_atom_site_label
_atom_site_type_symbol
_atom_site_fract_x
_atom_site_fract_y
_atom_site_fract_z
Tl1 Tl 0.4852 0.9812 0.9677
Tl2 Tl 0.2327 0.2290 0.4651
Tc1 Tc 0.7374 0.7395 0.4749
Pb1 Pb 0.9826 0.4810 0.9672
O1 O 0.6758 0.6265 0.6656
O2 O 0.8461 0.4853 0.2878
O3 O 0.4456 0.8185 0.3175
O4 O 0.9815 0.0261 0.6283
# - Uncorrected formation energy: -0.87 eV/atom
# - Symmetry: P1, No. 1
# - Spin magnetization: 0.000 μB/atom

---

# TmTcPb2O6, optimized geometry, DFT GGA-PBE
data_TmTcPb2O6
_chemical_formula_sum 'Tm2 Tc2 Pb4 O12'
_symmetry_space_group_name_H-M 'P 1'
_symmetry_Int_Tables_number 1
_cell_length_a 5.8446
_cell_length_b 5.8464
_cell_length_c 8.2360
_cell_angle_alpha 90.00
_cell_angle_beta 90.30
_cell_angle_gamma 90.00
loop_
_symmetry_equiv_pos_as_xyz
'x,y,z'
loop_
_atom_site_label
_atom_site_type_symbol
_atom_site_fract_x
_atom_site_fract_y
_atom_site_fract_z
Tm1 Tm 0.5000 0.0000 0.0000
Tm2 Tm 0.0000 0.5000 0.5000
Tc1 Tc 0.5000 0.0000 0.5000
Tc2 Tc 0.0000 0.5000 0.0000
Pb1 Pb 0.0093 0.9757 0.2482
Pb2 Pb 0.5093 0.5243 0.7482
Pb3 Pb 0.9907 0.0243 0.7518
Pb4 Pb 0.4907 0.4757 0.2518
O1 O 0.2651 0.7068 0.0406
O2 O 0.7651 0.7932 0.5406
O3 O 0.7349 0.2932 0.9594
O4 O 0.2349 0.2068 0.4594
O5 O 0.2980 0.7309 0.4607
O6 O 0.7980 0.7691 0.9607
O7 O 0.7020 0.2691 0.5393
O8 O 0.2020 0.2309 0.0393
O9 O 0.9270 0.5130 0.2348
O10 O 0.4270 0.9870 0.7348
O11 O 0.0730 0.4870 0.7652
O12 O 0.5730 0.0130 0.2652
# - Uncorrected formation energy: -1.83 eV/atom
# - Symmetry: P2_1/c, No. 14
# - Spin magnetization: 0.200 μB/atom

---

# TmTc2PbO8, optimized geometry, DFT GGA-PBE
data_TmTc2PbO8
_chemical_formula_sum 'Tm1 Tc2 Pb1 O8'
_symmetry_space_group_name_H-M 'P 1'
_symmetry_Int_Tables_number 1
_cell_length_a 5.9417
_cell_length_b 5.9417
_cell_length_c 7.0610
_cell_angle_alpha 90.00
_cell_angle_beta 90.00
_cell_angle_gamma 120.00
loop_
_symmetry_equiv_pos_as_xyz
'x,y,z'
loop_
_atom_site_label
_atom_site_type_symbol
_atom_site_fract_x
_atom_site_fract_y
_atom_site_fract_z
Tm1 Tm 0.0000 0.0000 0.5000
Tc1 Tc 0.6667 0.3333 0.2199
Tc2 Tc 0.3333 0.6667 0.7801
Pb1 Pb 0.0000 0.0000 0.0000
O1 O 0.3333 0.6667 0.0294
O2 O 0.3263 0.1630 0.2954
O3 O 0.8370 0.1633 0.2954
O4 O 0.6667 0.3333 0.9706
O5 O 0.1630 0.8367 0.7046
O6 O 0.6737 0.8370 0.7046
O7 O 0.1633 0.3263 0.7046
O8 O 0.8367 0.6737 0.2954
# - Uncorrected formation energy: -1.72 eV/atom
# - Symmetry: P-3m1, No. 164
# - Spin magnetization: 0.251 μB/atom

---

# TmTcPbO6, optimized geometry, DFT GGA-PBE
data_TmTcPbO6
_chemical_formula_sum 'Tm1 Tc1 Pb1 O6'
_symmetry_space_group_name_H-M 'P 1'
_symmetry_Int_Tables_number 1
_cell_length_a 5.5246
_cell_length_b 5.5246
_cell_length_c 5.1279
_cell_angle_alpha 90.00
_cell_angle_beta 90.00
_cell_angle_gamma 60.00
loop_
_symmetry_equiv_pos_as_xyz
'x,y,z'
loop_
_atom_site_label
_atom_site_type_symbol
_atom_site_fract_x
_atom_site_fract_y
_atom_site_fract_z
Tm1 Tm 0.6666 0.6667 0.5000
Tc1 Tc 0.3333 0.3333 0.5000
Pb1 Pb 0.0000 0.0000 0.0000
O1 O 0.0392 0.3539 0.2874
O2 O 0.3539 0.0392 0.7126
O3 O 0.6068 0.3539 0.7126
O4 O 0.0392 0.6069 0.7126
O5 O 0.3539 0.6069 0.2874
O6 O 0.6068 0.0392 0.2874
# - Uncorrected formation energy: -1.86 eV/atom
# - Symmetry: P312, No. 149
# - Spin magnetization: 0.000 μB/atom